A plane-wave DFT calculation with PBE with a Hubbard U was carried out for a relaxed structure of MgMo2O7.

Cell: 6.833 6.638 7.960 Å, 90.00 105.56 90.00°
Space group P2_1 (No. 4)
One atom of each set of equivalent atoms:
Mg 0.025 0.000 0.109 (multiplicity 2)
Mo 0.088 0.483 0.321 (multiplicity 2)
Mo 0.433 0.413 0.745 (multiplicity 2)
O 0.034 0.329 0.123 (multiplicity 2)
O 0.075 0.733 0.245 (multiplicity 2)
O 0.103 0.947 0.578 (multiplicity 2)
O 0.246 0.517 0.839 (multiplicity 2)
O 0.330 0.039 0.176 (multiplicity 2)
O 0.335 0.429 0.493 (multiplicity 2)
O 0.469 0.162 0.802 (multiplicity 2)

Calculated values
The value obtained for the energy above the most stable polymorph in this dataset is 0.84 eV/f.u.